# 1
A relaxed PmInBi2 crystal. Source: Alexandria, functional GGA-PBE.

Computed properties:
DOS at the Fermi energy, states/eV per atom: 0.51
DFT formation energy, eV/atom: -0.424
E_tot, eV for the cell shown: -33.89

a b c (Å): 4.6046 4.6046 11.4896
angles (deg): 90.00 90.00 90.00
Space group P4/nmm (No. 129, origin choice 2)
Asymmetric unit:
Pm (0.2500, 0.2500, 0.2272) (multiplicity 2)
In (0.2500, 0.7500, 0.5000) (multiplicity 2)
Bi (0.2500, 0.2500, 0.7327) (multiplicity 2)
Bi (0.2500, 0.7500, 0.0000) (multiplicity 2)

***

# 2
A relaxed LaPr2DyTm5 crystal. Source: Alexandria, functional GGA-PBE.

Computed properties:
DOS at the Fermi energy, states/eV per atom: 1.06
DFT formation energy, eV/atom: 0.253
E_tot, eV for the cell shown: -156.69

a b c (Å): 8.6174 8.6174 15.6801
angles (deg): 90.00 90.00 90.00
Space group I4/mcm (No. 140)
Asymmetric unit:
La (0.0000, 0.5000, 0.2500) (multiplicity 4)
Pr (0.1188, 0.3812, 0.0000) (multiplicity 8)
Dy (0.0000, 0.0000, 0.2500) (multiplicity 4)
Tm (0.0000, 0.0000, 0.0000) (multiplicity 4)
Tm (0.2098, 0.2902, 0.3608) (multiplicity 16)

***

# 3
A relaxed LiThH crystal. Source: Alexandria, functional GGA-PBE.

Computed properties:
DOS at the Fermi energy, states/eV per atom: 0.40
E_tot, eV for the cell shown: -52.20

a b c (Å): 6.1313 3.5445 11.3165
angles (deg): 90.00 100.24 90.00
Space group C2/m (No. 12)
Asymmetric unit:
Li (0.1995, 0.0000, 0.0989) (multiplicity 4)
Th (0.1226, 0.5000, 0.3630) (multiplicity 4)
H (0.2440, 0.5000, 0.7385) (multiplicity 4)

***

# 4
A relaxed PmPuNp2As4 crystal. Source: Alexandria, functional GGA-PBE.

Computed properties:
DOS at the Fermi energy, states/eV per atom: 4.00
DFT formation energy, eV/atom: -0.946
E_tot, eV for the cell shown: -71.13

a b c (Å): 7.1803 4.1313 7.1977
angles (deg): 90.00 109.25 90.00
Space group P2/m (No. 10)
Asymmetric unit:
Pm (0.0000, 0.0000, 0.0000) (multiplicity 1)
Pu (0.5000, 0.5000, 0.0000) (multiplicity 1)
Np (0.0000, 0.5000, 0.5000) (multiplicity 1)
Np (0.5000, 0.0000, 0.5000) (multiplicity 1)
As (0.2527, 0.0000, 0.7450) (multiplicity 2)
As (0.2568, 0.5000, 0.2586) (multiplicity 2)

***

# 5
A relaxed NaNdTlCl5 crystal. Source: Alexandria, functional GGA-PBE.

Computed properties:
Raw formation energy, kcal/mol of atoms: -42.20
DOS at the Fermi energy, states/eV per atom: 0.00
E_tot, eV for the cell shown: -129.31

a b c (Å): 8.8355 13.1838 10.2588
angles (deg): 90.00 110.74 90.00
Space group C2/c (No. 15)
Asymmetric unit:
Na (0.0000, 0.1873, 0.2500) (multiplicity 4)
Nd (0.0000, 0.5000, 0.0000) (multiplicity 4)
Tl (0.0000, 0.1356, 0.7500) (multiplicity 4)
Cl (0.0000, 0.4167, 0.7500) (multiplicity 4)
Cl (0.1205, 0.3160, 0.1120) (multiplicity 8)
Cl (0.1836, 0.0564, 0.4427) (multiplicity 8)

***

# 6
A relaxed BPIrAu crystal. Source: Alexandria, functional GGA-PBE.

Computed properties:
DOS at the Fermi energy, states/eV per atom: 0.36
DFT formation energy, eV/atom: 0.056
E_tot, eV for the cell shown: -24.00

a b c (Å): 2.8613 3.8860 6.3497
angles (deg): 88.26 77.09 68.44
Space group P1 (No. 1)
Asymmetric unit:
B (0.0000, 0.0000, 0.0000) (multiplicity 1)
P (0.7336, 0.8188, 0.7121) (multiplicity 1)
Ir (0.3349, 0.4143, 0.9155) (multiplicity 1)
Au (0.9453, 0.7799, 0.3272) (multiplicity 1)

***

# 7
A relaxed AuI2 crystal. Source: Alexandria, functional GGA-PBE.

Computed properties:
Raw formation energy, kcal/mol of atoms: -0.82
DOS at the Fermi energy, states/eV per atom: 0.61
E_tot, eV for the cell shown: -12.97

a b c (Å): 13.1129 4.0970 4.9656
angles (deg): 90.00 110.18 90.00
Space group C2/m (No. 12)
Asymmetric unit:
Au (0.0000, 0.0000, 0.0000) (multiplicity 2)
I (0.1390, 0.5000, 0.2753) (multiplicity 4)

***

# 8
A relaxed Sm4RuSBr2 crystal. Source: Alexandria, functional GGA-PBE.

Computed properties:
Raw formation energy, kcal/mol of atoms: -27.11
DOS at the Fermi energy, states/eV per atom: 0.71
E_tot, eV for the cell shown: -45.03

a b c (Å): 7.3568 3.9926 7.7796
angles (deg): 90.00 106.35 90.00
Space group P2/m (No. 10)
Asymmetric unit:
Sm (0.2185, 0.0000, 0.1977) (multiplicity 2)
Sm (0.2599, 0.5000, 0.8057) (multiplicity 2)
Ru (0.0000, 0.5000, 0.0000) (multiplicity 1)
S (0.5000, 0.0000, 0.0000) (multiplicity 1)
Br (0.0000, 0.0000, 0.5000) (multiplicity 1)
Br (0.5000, 0.5000, 0.5000) (multiplicity 1)

***

# 9
A relaxed RbLa2HgTe crystal. Source: Alexandria, functional GGA-PBE.

Computed properties:
Raw formation energy, kcal/mol of atoms: -2.91
DOS at the Fermi energy, states/eV per atom: 1.31
E_tot, eV for the cell shown: -14.90

a b c (Å): 6.0625 6.0625 6.6827
angles (deg): 90.00 90.00 90.00
Space group P4/mmm (No. 123)
Asymmetric unit:
Rb (0.0000, 0.0000, 0.0000) (multiplicity 1)
La (0.0000, 0.5000, 0.5000) (multiplicity 2)
Hg (0.5000, 0.5000, 0.0000) (multiplicity 1)
Te (0.0000, 0.0000, 0.5000) (multiplicity 1)

***

# 10
A relaxed YMgAgGe crystal. Source: Alexandria, functional GGA-PBE.

Computed properties:
DOS at the Fermi energy, states/eV per atom: 0.49
DFT formation energy, eV/atom: -0.416
E_tot, eV for the cell shown: -68.77

a b c (Å): 6.9672 6.9672 6.9672
angles (deg): 90.00 90.00 90.00
Space group F-43m (No. 216)
Asymmetric unit:
Y (0.0000, 0.0000, 0.0000) (multiplicity 4)
Mg (0.0000, 0.0000, 0.5000) (multiplicity 4)
Ag (0.2500, 0.2500, 0.2500) (multiplicity 4)
Ge (0.2500, 0.2500, 0.7500) (multiplicity 4)

***

# 11
A relaxed Tb2Er3Zr crystal. Source: Alexandria, functional GGA-PBE.

Computed properties:
DOS at the Fermi energy, states/eV per atom: 1.46
DFT formation energy, eV/atom: 0.179
E_tot, eV for the cell shown: -121.70

a b c (Å): 17.1700 3.3629 13.8703
angles (deg): 90.00 116.41 90.00
Space group C2/m (No. 12)
Asymmetric unit:
Tb (0.1486, 0.0000, 0.4682) (multiplicity 4)
Tb (0.1781, 0.5000, 0.8772) (multiplicity 4)
Er (0.0345, 0.5000, 0.2189) (multiplicity 4)
Er (0.0990, 0.0000, 0.0301) (multiplicity 4)
Er (0.2470, 0.0000, 0.2973) (multiplicity 4)
Zr (0.0658, 0.0000, 0.6467) (multiplicity 4)